VASP calculation (GGA-PBE) on a geometry-optimized TaTiIN2 structure.

Unit cell a=3.9887 b=3.9887 c=5.2796 alpha=90.00 beta=90.00 gamma=90.00
Positions (direct):
Ta 0.0000 0.0000 0.0000
Ti 0.5000 0.5000 0.5000
I 0.5000 0.5000 0.0000
N 0.0000 0.5000 0.5000
N 0.5000 0.0000 0.5000

Summary:
DFT total energy: -6.5669 eV/atom
Calculated volume: 16.80 Å³/atom
Magnetic moment: 0.0 μB per formula unit

=====

VASP calculation (GGA-PBE) on a geometry-optimized Ce4SbTe2Se structure.

Unit cell a=7.6187 b=4.4222 c=7.7330 alpha=90.00 beta=109.40 gamma=90.00
Positions (direct):
Ce 0.2348 0.0000 0.2329
Ce 0.2439 0.5000 0.7601
Ce 0.7561 0.5000 0.2399
Ce 0.7652 0.0000 0.7671
Sb 0.5000 0.0000 0.0000
Te 0.0000 0.0000 0.5000
Te 0.5000 0.5000 0.5000
Se 0.0000 0.5000 0.0000

Summary:
DFT total energy: -6.0961 eV/atom
Calculated volume: 30.72 Å³/atom
Magnetic moment: 4.3 μB per formula unit

=====

VASP calculation (GGA-PBE) on a geometry-optimized Ca2SmDyTe4 structure.

Unit cell a=7.6389 b=4.4112 c=7.8078 alpha=90.00 beta=109.08 gamma=90.00
Positions (direct):
Ca 0.0000 0.0000 0.0000
Ca 0.5000 0.5000 0.0000
Sm 0.0000 0.5000 0.5000
Dy 0.5000 0.0000 0.5000
Te 0.2538 0.0000 0.7495
Te 0.2546 0.5000 0.2531
Te 0.7454 0.5000 0.7469
Te 0.7462 0.0000 0.2505

Summary:
DFT total energy: -4.7099 eV/atom
Calculated volume: 31.08 Å³/atom
Magnetic moment: 0.0 μB per formula unit

=====

VASP calculation (GGA-PBE) on a geometry-optimized AlTl2Mo structure.

Unit cell a=5.8784 b=5.8784 c=5.2468 alpha=106.01 beta=106.01 gamma=29.13
Positions (direct):
Al 0.0000 0.0000 0.0000
Tl 0.2275 0.2275 0.8213
Tl 0.4338 0.4338 0.4586
Mo 0.6811 0.6811 0.3001

Summary:
Energy relative to the elements: 0.51 eV per atom
DFT total energy: -4.3130 eV/atom
Calculated volume: 21.15 Å³/atom
Magnetic moment: 0.0 μB per formula unit